Entry 1:
A geometry-optimized TlInCo2 structure, computed with PBE.

```
TlInCo2
1.0
3.8559 0.0000 0.0000
-1.9279 3.3393 0.0000
0.0000 0.0000 18.3033
Tl In Co
3 3 6
direct
0.0000 0.0000 0.0000 Tl
0.3333 0.6667 0.6667 Tl
0.6667 0.3333 0.3333 Tl
0.0000 0.0000 0.2023 In
0.3333 0.6667 0.8689 In
0.6667 0.3333 0.5356 In
0.0000 0.0000 0.4501 Co
0.0000 0.0000 0.7664 Co
0.3333 0.6667 0.1167 Co
0.3333 0.6667 0.4331 Co
0.6667 0.3333 0.0998 Co
0.6667 0.3333 0.7834 Co
```

***

Entry 2:
A geometry-optimized PaTlGaO5 structure, computed with PBE.

```
PaTlGaO5
1.0
3.5164 -4.9350 0.0000
3.5164 4.9350 0.0000
-3.2687 0.0000 7.4614
Pa Tl Ga O
2 2 2 10
direct
0.0000 0.0000 0.0000 Pa
0.0000 0.0000 0.5000 Pa
0.3299 0.6701 0.7500 Tl
0.6701 0.3299 0.2500 Tl
0.3145 0.6855 0.2500 Ga
0.6855 0.3145 0.7500 Ga
0.0773 0.9227 0.7500 O
0.0876 0.6805 0.3737 O
0.2418 0.3825 0.0832 O
0.3195 0.9124 0.1263 O
0.3825 0.2418 0.5832 O
0.6175 0.7582 0.4168 O
0.6805 0.0876 0.8737 O
0.7582 0.6175 0.9168 O
0.9124 0.3195 0.6263 O
0.9227 0.0773 0.2500 O
```

Output
Uncorrected formation energy = -1709 kJ/mol of formula units

***

Entry 3:
A geometry-optimized ScTlRu2 structure, computed with PBE.

```
ScTlRu2
1.0
4.1751 0.0000 0.0000
0.0000 4.1751 0.0000
0.0000 0.0000 18.2774
Sc Tl Ru
4 4 8
direct
0.0000 0.0000 0.0000 Sc
0.0000 0.5000 0.2500 Sc
0.5000 0.0000 0.7500 Sc
0.5000 0.5000 0.5000 Sc
0.0000 0.0000 0.5000 Tl
0.0000 0.5000 0.7500 Tl
0.5000 0.0000 0.2500 Tl
0.5000 0.5000 0.0000 Tl
0.1703 0.2500 0.1250 Ru
0.2500 0.6703 0.3750 Ru
0.2500 0.8297 0.8750 Ru
0.3297 0.2500 0.6250 Ru
0.6703 0.7500 0.6250 Ru
0.7500 0.1703 0.8750 Ru
0.7500 0.3297 0.3750 Ru
0.8297 0.7500 0.1250 Ru
```

***

| no. | E_tot (eV/atom) |
| --- | --- |
| 1 | -4.461 |
| 2 | -7.175 |
| 3 | -6.372 |